Below is Zn after structural relaxation, with properties calculated at the PBE level.

Geometry as CIF:
```
data_Zn
_cell_length_a 2.683
_cell_length_b 11.407
_cell_length_c 6.335
_cell_angle_alpha 90.00
_cell_angle_beta 90.00
_cell_angle_gamma 90.00
_space_group_name_H-M_alt 'P 1'
_space_group_IT_number 1
_space_group_name_Hall 'P 1'
loop_
_atom_site_label
_atom_site_fract_x
_atom_site_fract_y
_atom_site_fract_z
_atom_site_occupancy
Zn1 0.250 0.006 0.174 1
Zn2 0.250 0.121 0.534 1
Zn3 0.250 0.250 0.187 1
Zn4 0.250 0.379 0.534 1
Zn5 0.250 0.494 0.174 1
Zn6 0.250 0.750 0.169 1
Zn7 0.750 0.250 0.831 1
Zn8 0.750 0.506 0.826 1
Zn9 0.750 0.621 0.466 1
Zn10 0.750 0.750 0.813 1
Zn11 0.750 0.879 0.466 1
Zn12 0.750 0.994 0.826 1
```

As for the formation energy: 0.06 eV per atom. As for the volume: 16.16 Å³/atom. Its space-group type is Pmmn, No. 59. As for the uncorrected energy: -0.044 hartree per atom. The density of states at the Fermi level is 0.22 states/eV/atom. The polymorph energy (0 for the lowest one) comes out at 0.064 eV per atom.